The following is a DFT calculation (GGA-PBE) of a relaxed RbYI2F crystal.

Cell lengths 6.2977, 6.2977, 4.4338 Å; angles 90.00, 90.00, 90.00 degrees
Last column: nearest neighbours and their distance in Å.
Atoms (fractional coordinates):
I (0.0000, 0.5000, 0.0000)  2 Y 3.15
I (0.5000, 0.0000, 0.0000)  2 Y 3.15
Y (0.0000, 0.0000, 0.0000)  2 F 2.22
Rb (0.5000, 0.5000, 0.5000)  8 I 3.85
F (0.0000, 0.0000, 0.5000)  2 Y 2.22

- ΔE_f (raw): -1871 meV/atom
- Space-group type: P4/mmm
- Total magnetization: 0.26 Bohr magnetons per cell

The following is a DFT calculation (GGA-PBE) of a relaxed La2Ga3Pt crystal.

Cell lengths 6.0300, 6.0300, 8.9754 Å; angles 111.86, 111.86, 83.78 degrees
Last column: nearest neighbours and their distance in Å.
Atoms (fractional coordinates):
La (0.7500, 0.2500, 0.5000)  8 Ga 3.28-3.29, 4 Pt 3.28
La (0.7323, 0.2677, 0.0000)  2 Pt 3.20, 10 Ga 3.22-3.36
La (0.2500, 0.7500, 0.5000)  8 Ga 3.28-3.29, 4 Pt 3.28
La (0.2677, 0.7323, 0.0000)  2 Pt 3.20, 10 Ga 3.22-3.36
Ga (0.8375, 0.8375, 0.1673)  2 Ga 2.55-2.60, 1 Pt 2.62
Ga (0.6702, 0.6702, 0.8327)  2 Ga 2.55-2.60, 1 Pt 2.62
Ga (0.1625, 0.1625, 0.8327)  2 Ga 2.55-2.60, 1 Pt 2.62
Ga (0.3298, 0.3298, 0.1673)  2 Ga 2.55-2.60, 1 Pt 2.62
Ga (0.1655, 0.1655, 0.3310)  2 Ga 2.55, 1 Pt 2.60
Ga (0.8345, 0.8345, 0.6690)  2 Ga 2.55, 1 Pt 2.60
Pt (0.6672, 0.6672, 0.3343)  3 Ga 2.60-2.62
Pt (0.3328, 0.3328, 0.6657)  3 Ga 2.60-2.62

- Energy relative to the elements: -842 meV per atom
- Space-group type: Fmmm
- Total magnetization: 0.00 Bohr magnetons per cell

Question: The lowest total magnetization belongs to which entry?
Answer: La2Ga3Pt

Please write out number 2 again, unchanged.
The following is a DFT calculation (GGA-PBE) of a relaxed La2Ga3Pt crystal.

Cell lengths 6.0300, 6.0300, 8.9754 Å; angles 111.86, 111.86, 83.78 degrees
Last column: nearest neighbours and their distance in Å.
Atoms (fractional coordinates):
La (0.7500, 0.2500, 0.5000)  8 Ga 3.28-3.29, 4 Pt 3.28
La (0.7323, 0.2677, 0.0000)  2 Pt 3.20, 10 Ga 3.22-3.36
La (0.2500, 0.7500, 0.5000)  8 Ga 3.28-3.29, 4 Pt 3.28
La (0.2677, 0.7323, 0.0000)  2 Pt 3.20, 10 Ga 3.22-3.36
Ga (0.8375, 0.8375, 0.1673)  2 Ga 2.55-2.60, 1 Pt 2.62
Ga (0.6702, 0.6702, 0.8327)  2 Ga 2.55-2.60, 1 Pt 2.62
Ga (0.1625, 0.1625, 0.8327)  2 Ga 2.55-2.60, 1 Pt 2.62
Ga (0.3298, 0.3298, 0.1673)  2 Ga 2.55-2.60, 1 Pt 2.62
Ga (0.1655, 0.1655, 0.3310)  2 Ga 2.55, 1 Pt 2.60
Ga (0.8345, 0.8345, 0.6690)  2 Ga 2.55, 1 Pt 2.60
Pt (0.6672, 0.6672, 0.3343)  3 Ga 2.60-2.62
Pt (0.3328, 0.3328, 0.6657)  3 Ga 2.60-2.62

- Energy relative to the elements: -842 meV per atom
- Space-group type: Fmmm
- Total magnetization: 0.00 Bohr magnetons per cell

Question: The highest total magnetization belongs to which entry?
Answer: RbYI2F